# 1
SrCa2Ni: relaxed, PBE.

abc: 14.1228 4.1213 9.2220
angles: 90.00 94.69 90.00
Closest atoms and distances in Å follow each position.
Space group C2/m (No. 12)
Symmetry-distinct sites (fractional):
Sr 0.1280 0.0000 0.4458 [4 per cell]  1 Ni 3.62, 4 Ca 3.81-3.93, 1 Sr 3.83
Ca 0.0435 0.5000 0.8273 [4 per cell]  4 Ni 2.95-2.99
Ca 0.2260 0.5000 0.1449 [4 per cell]  2 Ni 2.97
Ni 0.0822 0.0000 0.0538 [4 per cell]  1 Ni 2.45

- energy above the lowest structure with this stoichiometry (meV per atom) = 0.0
- formation energy from the elements (eV/atom) = -0.067

# 2
Sr2CaNi: relaxed, PBE.

abc: 5.2764 5.3031 9.9661
angles: 90.00 90.00 90.00
Closest atoms and distances in Å follow each position.
Space group Cmm2 (No. 35)
Symmetry-distinct sites (fractional):
Sr 0.0000 0.0000 0.0000 [2 per cell]  4 Ni 3.22-3.23, 1 Ca 3.36
Sr 0.0000 0.5000 0.3460 [2 per cell]  4 Sr 3.74, 4 Ca 4.12
Ca 0.0000 0.0000 0.6629 [2 per cell]  4 Ni 3.04-3.06, 1 Sr 3.36
Ni 0.0000 0.5000 0.8154 [2 per cell]  4 Ca 3.04-3.06, 4 Sr 3.22-3.23

- energy above the lowest structure with this stoichiometry (meV per atom) = 0.0
- formation energy from the elements (eV/atom) = 0.066

# 3
SrCaNi3: relaxed, PBE.

abc: 4.8596 4.8596 4.8596
angles: 90.00 90.00 90.00
Closest atoms and distances in Å follow each position.
Space group Pm-3m (No. 221)
Symmetry-distinct sites (fractional):
Sr 0.0000 0.0000 0.0000 [1 per cell]  12 Ni 3.44
Ca 0.5000 0.5000 0.5000 [1 per cell]  6 Ni 2.43
Ni 0.0000 0.5000 0.5000 [3 per cell]  2 Ca 2.43

- energy above the lowest structure with this stoichiometry (meV per atom) = 0.0
- formation energy from the elements (eV/atom) = 0.818

# 4
SrCa3Ni: relaxed, PBE.

abc: 5.6535 5.6535 5.6535
angles: 90.00 90.00 90.00
Closest atoms and distances in Å follow each position.
Space group Pm-3m (No. 221)
Symmetry-distinct sites (fractional):
Sr 0.0000 0.0000 0.0000 [1 per cell]  12 Ca 4.00
Ca 0.0000 0.5000 0.5000 [3 per cell]  2 Ni 2.83
Ni 0.5000 0.5000 0.5000 [1 per cell]  6 Ca 2.83

- energy above the lowest structure with this stoichiometry (meV per atom) = 6.9
- formation energy from the elements (eV/atom) = -0.051

# 5
Sr2CaNi: relaxed, PBE.

abc: 10.6621 10.6621 5.6443
angles: 90.00 90.00 90.00
Closest atoms and distances in Å follow each position.
Space group I-42d (No. 122)
Symmetry-distinct sites (fractional):
Sr 0.1110 0.2500 0.1250 [8 per cell]  2 Ni 3.00
Ca 0.0000 0.0000 0.5000 [4 per cell]  2 Ni 2.82
Ni 0.0000 0.0000 0.0000 [4 per cell]  2 Ca 2.82, 4 Sr 3.00

- energy above the lowest structure with this stoichiometry (meV per atom) = 85.3
- formation energy from the elements (eV/atom) = 0.152

# 6
SrCa3Ni: relaxed, PBE.

abc: 6.9402 7.5677 8.1925
angles: 105.04 90.01 117.21
Closest atoms and distances in Å follow each position.
Space group P1 (No. 1)
Symmetry-distinct sites (fractional):
Sr 0.0000 0.0000 0.0000 [1 per cell]  1 Ni 3.00
Sr 0.4919 0.9840 0.7187 [1 per cell]  1 Ni 3.00
Ca 0.0604 0.4923 0.3593 [1 per cell]  2 Ni 2.77-2.78
Ca 0.0983 0.4919 0.8592 [1 per cell]  4 Sr 3.94-4.09, 8 Ca 3.96-4.10
Ca 0.4763 0.9844 0.2448 [1 per cell]  2 Ni 2.94-2.95
Ca 0.5885 0.4861 0.1016 [1 per cell]  2 Ni 2.73-2.77
Ca 0.5946 0.4979 0.6170 [1 per cell]  2 Ni 2.73-2.77
Ca 0.9837 0.9997 0.4736 [1 per cell]  2 Ni 2.94-2.96
Ni 0.3150 0.2926 0.3171 [1 per cell]  1 Ni 2.57, 3 Ca 2.73-2.77
Ni 0.5143 0.6914 0.4016 [1 per cell]  1 Ni 2.57, 3 Ca 2.73-2.78

- energy above the lowest structure with this stoichiometry (meV per atom) = 16.2
- formation energy from the elements (eV/atom) = -0.041

# 7
Sr3CaNi: relaxed, PBE.

abc: 10.0592 4.2142 10.9217
angles: 90.00 116.49 90.00
Closest atoms and distances in Å follow each position.
Space group P2_1/m (No. 11)
Symmetry-distinct sites (fractional):
Sr 0.0350 0.2500 0.1804 [2 per cell]  1 Ni 3.84, 2 Ca 3.91, 8 Sr 3.92-4.24
Sr 0.2462 0.7500 0.5402 [2 per cell]  3 Ni 3.20
Sr 0.3862 0.7500 0.2373 [2 per cell]  3 Ni 2.94-3.11
Ca 0.3221 0.2500 0.9015 [2 per cell]  7 Sr 3.86-4.23, 4 Ca 3.87-4.21
Ni 0.4369 0.2500 0.4632 [2 per cell]  2 Ni 2.41

- energy above the lowest structure with this stoichiometry (meV per atom) = 10.2
- formation energy from the elements (eV/atom) = 0.015

# 8
SrCa3Ni: relaxed, PBE.

abc: 13.5104 15.2305 7.2444
angles: 90.00 94.11 90.00
Closest atoms and distances in Å follow each position.
Space group C2/c (No. 15)
Symmetry-distinct sites (fractional):
Sr 0.1245 0.0729 0.1079 [8 per cell]  8 Ca 3.97-4.23, 4 Sr 4.07-4.25
Ca 0.1054 0.3340 0.0812 [8 per cell]  1 Ni 2.71
Ca 0.1224 0.2027 0.6232 [8 per cell]  1 Ni 2.91
Ca 0.1393 0.4377 0.5335 [8 per cell]  3 Ni 2.73-2.90
Ni 0.0000 0.3449 0.7500 [4 per cell]  1 Ni 2.43, 2 Ca 2.71
Ni 0.0000 0.4954 0.2500 [4 per cell]  1 Ni 2.43

- energy above the lowest structure with this stoichiometry (meV per atom) = 42.2
- formation energy from the elements (eV/atom) = -0.015

# 9
SrCa4Ni: relaxed, PBE.

abc: 9.8398 9.8398 9.8398
angles: 90.00 90.00 90.00
Closest atoms and distances in Å follow each position.
Space group F-43m (No. 216)
Symmetry-distinct sites (fractional):
Sr 0.0000 0.0000 0.0000 [4 per cell]  12 Ca 4.08, 4 Ni 4.26
Ca 0.1245 0.1245 0.6245 [16 per cell]  6 Ca 3.47-3.49
Ni 0.2500 0.2500 0.2500 [4 per cell]  12 Ca 4.08, 4 Sr 4.26

- energy above the lowest structure with this stoichiometry (meV per atom) = 517.2
- formation energy from the elements (eV/atom) = 0.561

# 10
Sr2CaNi: relaxed, PBE.

abc: 3.9621 4.5562 16.4372
angles: 90.00 90.00 90.00
Closest atoms and distances in Å follow each position.
Space group Amm2 (No. 38)
Symmetry-distinct sites (fractional):
Sr 0.0000 0.0000 0.0000 [2 per cell]  4 Ni 3.07
Sr 0.5000 0.0000 0.3398 [2 per cell]  1 Ni 3.19
Ca 0.0000 0.0000 0.6695 [2 per cell]  2 Ni 2.98
Ni 0.5000 0.0000 0.5339 [2 per cell]  2 Ca 2.98, 5 Sr 3.07-3.19

- energy above the lowest structure with this stoichiometry (meV per atom) = 15.3
- formation energy from the elements (eV/atom) = 0.082

# 11
SrCaNi2: relaxed, PBE.

abc: 7.0689 7.0689 7.0689
angles: 90.00 90.00 90.00
Closest atoms and distances in Å follow each position.
Space group Fm-3m (No. 225)
Symmetry-distinct sites (fractional):
Sr 0.0000 0.0000 0.0000 [4 per cell]  8 Ni 3.06
Ca 0.0000 0.0000 0.5000 [4 per cell]  8 Ni 3.06
Ni 0.2500 0.2500 0.2500 [8 per cell]  4 Ca 3.06, 4 Sr 3.06

- energy above the lowest structure with this stoichiometry (meV per atom) = 210.6
- formation energy from the elements (eV/atom) = 0.132

# 12
SrCaNi2: relaxed, PBE.

abc: 3.9967 4.2063 12.9851
angles: 90.00 90.00 90.00
Closest atoms and distances in Å follow each position.
Space group Imm2 (No. 44)
Symmetry-distinct sites (fractional):
Sr 0.0000 0.0000 0.0000 [2 per cell]  6 Ni 3.10-3.16
Ca 0.0000 0.5000 0.7448 [2 per cell]  6 Ni 2.85-3.04
Ni 0.0000 0.0000 0.5970 [2 per cell]  2 Ni 2.24
Ni 0.0000 0.5000 0.1756 [2 per cell]  2 Ni 2.24

- energy above the lowest structure with this stoichiometry (meV per atom) = 108.6
- formation energy from the elements (eV/atom) = 0.030

# 13
SrCa3Ni: relaxed, PBE.

abc: 8.8973 12.2377 6.8277
angles: 90.00 90.00 90.00
Closest atoms and distances in Å follow each position.
Space group Cmcm (No. 63)
Symmetry-distinct sites (fractional):
Sr 0.0000 0.0795 0.2500 [4 per cell]  1 Ni 2.82
Ca 0.0000 0.5000 0.0000 [4 per cell]  2 Ni 2.88
Ca 0.1958 0.2100 0.7500 [8 per cell]  1 Ni 2.72
Ni 0.0000 0.3099 0.2500 [4 per cell]  4 Ca 2.72-2.88, 1 Sr 2.82

- energy above the lowest structure with this stoichiometry (meV per atom) = 153.6
- formation energy from the elements (eV/atom) = 0.096

# 14
Sr2Ca5Ni2: relaxed, PBE.

abc: 21.1619 7.7189 7.7246
angles: 90.00 90.00 90.00
Closest atoms and distances in Å follow each position.
Space group Cmce (No. 64)
Symmetry-distinct sites (fractional):
Sr 0.2308 0.0000 0.0000 [8 per cell]  4 Sr 3.94-3.95, 6 Ca 4.09-4.18
Ca 0.0000 0.0000 0.0000 [4 per cell]  4 Ni 3.12-3.13, 8 Ca 3.47
Ca 0.0927 0.1726 0.3274 [16 per cell]  3 Ni 2.97-3.07
Ni 0.0000 0.1106 0.6113 [8 per cell]  1 Ni 2.42

- formation energy from the elements (eV/atom) = -0.051

# 15
Sr2Ca2Ni: relaxed, PBE.

abc: 7.5579 7.5579 6.5199
angles: 90.00 90.00 90.00
Closest atoms and distances in Å follow each position.
Space group P4/mbm (No. 127)
Symmetry-distinct sites (fractional):
Sr 0.1810 0.3190 0.0000 [4 per cell]  2 Ca 3.63, 5 Sr 3.87-3.92
Ca 0.1702 0.6702 0.5000 [4 per cell]  2 Ni 2.81
Ni 0.0000 0.0000 0.5000 [2 per cell]  4 Ca 2.81

- energy above the lowest structure with this stoichiometry (meV per atom) = 0.0
- formation energy from the elements (eV/atom) = 0.194

# 16
Sr2Ca2Ni: relaxed, PBE.

abc: 7.7297 7.7297 6.5080
angles: 90.00 90.00 90.00
Closest atoms and distances in Å follow each position.
Space group P4/mbm (No. 127)
Symmetry-distinct sites (fractional):
Sr 0.1695 0.3305 0.0000 [4 per cell]  2 Ni 2.87
Ca 0.1733 0.6733 0.5000 [4 per cell]  2 Sr 3.68, 5 Ca 3.79-4.04
Ni 0.0000 0.0000 0.0000 [2 per cell]  4 Sr 2.87

- energy above the lowest structure with this stoichiometry (meV per atom) = 80.2
- formation energy from the elements (eV/atom) = 0.274

# 17
SrCa2Ni: relaxed, PBE.

abc: 8.1699 8.1699 11.3782
angles: 90.00 90.00 90.00
Closest atoms and distances in Å follow each position.
Space group I-42d (No. 122)
Symmetry-distinct sites (fractional):
Sr 0.0000 0.0000 0.0000 [4 per cell]  12 Ca 4.73-4.82, 4 Ni 4.98, 4 Sr 4.98
Ca 0.0050 0.2500 0.6250 [8 per cell]  2 Ni 2.49
Ni 0.0000 0.0000 0.5000 [4 per cell]  4 Ca 2.49

- energy above the lowest structure with this stoichiometry (meV per atom) = 449.4
- formation energy from the elements (eV/atom) = 0.382

# 18
SrCa2Ni: relaxed, PBE.

abc: 11.9814 3.8926 6.8030
angles: 90.00 119.57 90.00
Closest atoms and distances in Å follow each position.
Space group Cm (No. 8)
Symmetry-distinct sites (fractional):
Sr 0.0000 0.0000 0.0000 [2 per cell]  3 Ni 3.22-3.42
Ca 0.1774 0.0000 0.6829 [2 per cell]  2 Ni 2.80
Ca 0.3573 0.0000 0.3461 [2 per cell]  2 Ni 2.85
Ni 0.2165 0.5000 0.0072 [2 per cell]  4 Ca 2.80-2.85

- energy above the lowest structure with this stoichiometry (meV per atom) = 91.1
- formation energy from the elements (eV/atom) = 0.024

# 19
SrCa2Ni: relaxed, PBE.

abc: 5.0817 5.0817 9.7325
angles: 90.00 90.00 90.00
Closest atoms and distances in Å follow each position.
Space group I-4m2 (No. 119)
Symmetry-distinct sites (fractional):
Sr 0.0000 0.0000 0.0000 [2 per cell]  8 Ca 3.52-3.59, 4 Ni 3.52
Ca 0.0000 0.0000 0.5000 [2 per cell]  4 Ca 3.52, 4 Ni 3.52, 4 Sr 3.59
Ca 0.0000 0.5000 0.7500 [2 per cell]  4 Ca 3.52, 4 Sr 3.52, 4 Ni 3.59
Ni 0.0000 0.5000 0.2500 [2 per cell]  4 Sr 3.52, 8 Ca 3.52-3.59

- energy above the lowest structure with this stoichiometry (meV per atom) = 377.8
- formation energy from the elements (eV/atom) = 0.310

# 20
SrCa2Ni: relaxed, PBE.

abc: 3.6802 3.6652 9.6850
angles: 90.00 90.26 90.00
Closest atoms and distances in Å follow each position.
Space group Pm (No. 6)
Symmetry-distinct sites (fractional):
Sr 0.0000 0.0000 0.0000 [1 per cell]  4 Ni 3.19, 1 Ca 3.39
Ca 0.4984 0.5000 0.3398 [1 per cell]  8 Ca 3.67-3.97
Ca 0.9987 0.0000 0.6496 [1 per cell]  4 Ni 3.02
Ni 0.4993 0.5000 0.8089 [1 per cell]  4 Ca 3.02, 4 Sr 3.19

- energy above the lowest structure with this stoichiometry (meV per atom) = 117.8
- formation energy from the elements (eV/atom) = 0.050

# 21
SrCa2Ni: relaxed, PBE.

abc: 4.1135 13.1299 9.6997
angles: 90.00 90.00 90.00
Closest atoms and distances in Å follow each position.
Space group Cmcm (No. 63)
Symmetry-distinct sites (fractional):
Sr 0.0000 0.0777 0.2500 [4 per cell]  2 Ni 3.06
Ca 0.0000 0.3468 0.0700 [8 per cell]  2 Ni 2.98
Ni 0.0000 0.2493 0.7500 [4 per cell]  4 Ca 2.98, 2 Sr 3.06

- energy above the lowest structure with this stoichiometry (meV per atom) = 16.2
- formation energy from the elements (eV/atom) = -0.051

# 22
SrCa3Ni: relaxed, PBE.

abc: 6.4589 6.4589 19.3149
angles: 90.00 90.00 90.00
Closest atoms and distances in Å follow each position.
Space group I-4m2 (No. 119)
Symmetry-distinct sites (fractional):
Sr 0.0000 0.0000 0.2035 [4 per cell]  2 Ni 3.35, 2 Ca 3.74
Ca 0.0000 0.2492 0.3784 [8 per cell]  2 Ni 2.85-2.96
Ca 0.0000 0.5000 0.5457 [4 per cell]  2 Ni 3.35, 2 Ca 3.62
Ni 0.0000 0.0000 0.5000 [2 per cell]  4 Ca 2.85
Ni 0.0000 0.5000 0.2500 [2 per cell]  4 Ca 2.96

- energy above the lowest structure with this stoichiometry (meV per atom) = 261.2
- formation energy from the elements (eV/atom) = 0.204

# 23
SrCaNi2: relaxed, PBE.

abc: 10.0295 4.1257 6.9145
angles: 90.00 128.43 90.00
Closest atoms and distances in Å follow each position.
Space group C2/m (No. 12)
Symmetry-distinct sites (fractional):
Sr 0.0000 0.0000 0.0000 [2 per cell]  6 Ni 3.04-3.21
Ca 0.0000 0.5000 0.5000 [2 per cell]  6 Ni 2.83-3.04
Ni 0.2464 0.0000 0.5617 [4 per cell]  2 Ni 2.25

- energy above the lowest structure with this stoichiometry (meV per atom) = 76.9
- formation energy from the elements (eV/atom) = -0.001

# 24
SrCa3Ni: relaxed, PBE.

abc: 15.0105 15.0105 15.0105
angles: 90.00 90.00 90.00
Closest atoms and distances in Å follow each position.
Space group Fd-3m (No. 227, origin choice 2)
Symmetry-distinct sites (fractional):
Sr 0.0000 0.0000 0.0000 [16 per cell]  6 Ca 3.95
Ca 0.0548 0.3750 0.8750 [48 per cell]  2 Ni 2.78
Ni 0.0000 0.0000 0.5000 [16 per cell]  6 Ca 2.78

- energy above the lowest structure with this stoichiometry (meV per atom) = 177.6
- formation energy from the elements (eV/atom) = 0.120

Calculated total energy per entry: -2.934, -2.720, -3.388, -2.744, -2.635, -2.735, -2.551, -2.709, -2.018, -2.705, -3.679, -3.781, -2.597, -2.821, -2.436, -2.355, -2.485, -2.843, -2.556, -2.816, -2.918, -2.490, -3.813, -2.573 eV per atom